Here is GaAg after structural relaxation from the Alexandria database. Energies are from PBEsol.

Cell: 3.2277 3.2277 3.2277 Å, 90.00 90.00 90.00°
Space group Pm-3m (No. 221)
Unique sites:
Ga 0.0000 0.0000 0.0000 (multiplicity 1)
Ag 0.5000 0.5000 0.5000 (multiplicity 1)

Properties
Total magnetic moment (Bohr magnetons per cell): 0.000
ΔH_f (0 K) (eV per atom): 0.04
DOS(E_F) (states/eV/f.u.): 0.81
Crystal system: cubic
V (Å³/cell): 34